1.
## Mg2B2Ir5Ru (GGA-PBE)

Data for a relaxed structure of Mg2B2Ir5Ru.

Structure (POSCAR):
```
Mg2B2Ir5Ru
1.0
9.6672 0.0000 0.0000
0.0000 9.6672 0.0000
0.0000 0.0000 2.8925
Mg B Ir Ru
4 4 10 2
Direct
0.1780 0.3220 0.0000
0.3220 0.8220 0.0000
0.6780 0.1780 0.0000
0.8220 0.6780 0.0000
0.1227 0.6227 0.0000
0.3773 0.1227 0.0000
0.6227 0.8773 0.0000
0.8773 0.3773 0.0000
0.0000 0.5000 0.5000
0.0712 0.7789 0.5000
0.2211 0.0712 0.5000
0.2789 0.5712 0.5000
0.4288 0.2789 0.5000
0.5000 0.0000 0.5000
0.5712 0.7211 0.5000
0.7211 0.4288 0.5000
0.7789 0.9288 0.5000
0.9288 0.2211 0.5000
0.0000 0.0000 0.0000
0.5000 0.5000 0.0000
```

Values from the calculation:
Uncorrected energy (eV/f.u.): -73.23
Calculated formation energy (eV/atom): -0.311
Crystal system: tetragonal
SG: No. 127

---

2.
## Mg2B2IrRu5 (GGA-PBE)

Data for a relaxed structure of Mg2B2IrRu5.

Structure (POSCAR):
```
Mg2B2IrRu5
1.0
9.6018 0.0000 0.0000
0.0000 9.6018 0.0000
0.0000 0.0000 2.8919
Mg B Ir Ru
4 4 2 10
Direct
0.1765 0.3235 0.0000
0.3235 0.8235 0.0000
0.6765 0.1765 0.0000
0.8235 0.6765 0.0000
0.1206 0.6206 0.0000
0.3794 0.1206 0.0000
0.6206 0.8794 0.0000
0.8794 0.3794 0.0000
0.0000 0.0000 0.0000
0.5000 0.5000 0.0000
0.0000 0.5000 0.5000
0.0723 0.7791 0.5000
0.2209 0.0723 0.5000
0.2791 0.5723 0.5000
0.4277 0.2791 0.5000
0.5000 0.0000 0.5000
0.5723 0.7209 0.5000
0.7209 0.4277 0.5000
0.7791 0.9277 0.5000
0.9277 0.2209 0.5000
```

Values from the calculation:
Uncorrected energy (eV/f.u.): -73.07
Calculated formation energy (eV/atom): -0.129
Crystal system: tetragonal
SG: No. 127

---

3.
## MgSc2B2Ir5 (GGA-PBE)

Data for a relaxed structure of MgSc2B2Ir5.

Structure (POSCAR):
```
MgSc2B2Ir5
1.0
9.5642 0.0000 0.0000
0.0000 9.5642 0.0000
0.0000 0.0000 3.0227
Mg Sc B Ir
2 4 4 10
Direct
0.0000 0.0000 0.0000
0.5000 0.5000 0.0000
0.1777 0.3223 0.0000
0.3223 0.8223 0.0000
0.6777 0.1777 0.0000
0.8223 0.6777 0.0000
0.1249 0.6249 0.0000
0.3751 0.1249 0.0000
0.6249 0.8751 0.0000
0.8751 0.3751 0.0000
0.0000 0.5000 0.5000
0.0693 0.7802 0.5000
0.2198 0.0693 0.5000
0.2802 0.5693 0.5000
0.4307 0.2802 0.5000
0.5000 0.0000 0.5000
0.5693 0.7198 0.5000
0.7198 0.4307 0.5000
0.7802 0.9307 0.5000
0.9307 0.2198 0.5000
```

Values from the calculation:
Uncorrected energy (eV/f.u.): -79.66
Calculated formation energy (eV/atom): -0.774
Crystal system: tetragonal
SG: No. 127

---

4.
## Mg2Sc2BIr4 (GGA-PBE)

Data for a relaxed structure of Mg2Sc2BIr4.

Structure (POSCAR):
```
Mg2Sc2BIr4
1.0
-3.0112 3.0112 3.8415
3.0112 -3.0112 3.8415
3.0112 3.0112 -3.8415
Mg Sc B Ir
2 2 1 4
Direct
0.2045 0.2045 0.0000
0.7955 0.7955 0.0000
0.2500 0.7500 0.5000
0.7500 0.2500 0.5000
0.5000 0.5000 0.0000
0.2567 0.2567 0.5134
0.2567 0.7433 0.0000
0.7433 0.2567 0.0000
0.7433 0.7433 0.4866
```

Values from the calculation:
Uncorrected energy (eV/f.u.): -64.02
Calculated formation energy (eV/atom): -0.671
Crystal system: tetragonal
SG: No. 139

---

5.
## Mg2SiB2Ir5 (GGA-PBE)

Data for a relaxed structure of Mg2SiB2Ir5.

Structure (POSCAR):
```
Mg2SiB2Ir5
1.0
9.4245 0.0000 0.0000
0.0000 9.4245 0.0000
0.0000 0.0000 2.9078
Mg Si B Ir
4 2 4 10
Direct
0.1749 0.3251 0.0000
0.3251 0.8251 0.0000
0.6749 0.1749 0.0000
0.8251 0.6749 0.0000
0.0000 0.0000 0.0000
0.5000 0.5000 0.0000
0.1257 0.6257 0.0000
0.3743 0.1257 0.0000
0.6257 0.8743 0.0000
0.8743 0.3743 0.0000
0.0000 0.5000 0.5000
0.0725 0.7909 0.5000
0.2091 0.0725 0.5000
0.2909 0.5725 0.5000
0.4275 0.2909 0.5000
0.5000 0.0000 0.5000
0.5725 0.7091 0.5000
0.7091 0.4275 0.5000
0.7909 0.9275 0.5000
0.9275 0.2091 0.5000
```

Values from the calculation:
Uncorrected energy (eV/f.u.): -72.23
ΔE_f (raw) (eV/atom): -0.5960
Crystal system: tetragonal
SG: No. 127

---

6.
## Mg3Sn2BIr3 (GGA-PBE)

Data for a relaxed structure of Mg3Sn2BIr3.

Structure (POSCAR):
```
Mg3Sn2BIr3
1.0
7.1175 0.0000 0.0000
-3.5587 6.1639 0.0000
0.0000 0.0000 3.3629
Mg Sn B Ir
3 2 1 3
Direct
0.0000 0.3491 0.0000
0.3491 0.0000 0.0000
0.6509 0.6509 0.0000
0.3333 0.6667 0.5000
0.6667 0.3333 0.5000
0.0000 0.0000 0.0000
0.0000 0.7746 0.5000
0.2254 0.2254 0.5000
0.7746 0.0000 0.5000
```

Values from the calculation:
Uncorrected energy (eV/f.u.): -48.42
Calculated formation energy (eV/atom): -0.263
Crystal system: hexagonal
SG: No. 189